PmCrHg2O6 | GGA+U | relaxed

## Properties
Space-group type: No. 1
Raw total energy in eV per atom: -5.57

Geometry as POSCAR:
```
PmCrHg2O6
1.0
5.6776 0.0000 0.0000
-2.7532 4.9963 0.0000
-2.7235 -1.6792 4.9489
Pm Cr Hg O
1 1 2 6
Cartesian
0.0000 0.0000 0.0000 Pm
2.9137 1.6192 2.3557 Cr
-0.0622 -0.3278 3.5294 Hg
0.1198 3.3087 1.4119 Hg
-1.2608 1.4394 1.3265 O
-2.0628 0.2575 3.6365 O
-1.4308 3.1119 3.3254 O
1.9334 0.4241 1.3532 O
2.3021 3.1201 1.2158 O
1.7508 2.0305 3.5872 O
```